# 1
The following is a GGA-PBE calculation of a relaxed structure of Sm12DyTm2, from Alexandria via LeMat-Bulk.

- Formation energy: 165 meV/atom

abc: 6.758 6.758 24.729
angles: 90.00 90.00 63.70
Atoms (fractional coordinates):
Dy  0.500  0.000  0.001
Dy  0.000  0.500  0.999
Tm  0.500  0.000  0.269
Tm  0.000  0.500  0.731
Tm  0.000  0.500  0.266
Tm  0.500  0.000  0.734
Sm  0.500  0.500  0.325
Sm  0.251  0.249  0.130
Sm  0.749  0.249  0.925
Sm  0.000  0.000  0.325
Sm  0.751  0.251  0.075
Sm  0.267  0.233  0.587
Sm  0.251  0.751  0.925
Sm  0.751  0.749  0.870
Sm  0.000  0.000  0.675
Sm  0.500  0.500  0.199
Sm  0.000  0.000  0.199
Sm  0.249  0.749  0.075
Sm  0.733  0.767  0.587
Sm  0.249  0.251  0.870
Sm  0.233  0.267  0.413
Sm  0.767  0.733  0.413
Sm  0.500  0.500  0.801
Sm  0.749  0.751  0.130
Sm  0.000  0.000  0.801
Sm  0.273  0.773  0.440
Sm  0.227  0.727  0.560
Sm  0.500  0.500  0.675
Sm  0.773  0.273  0.560
Sm  0.727  0.227  0.440


# 2
The following is a GGA-PBE calculation of a relaxed structure of ZnSnPd5, from Alexandria via LeMat-Bulk.

- Formation energy: -66 meV/atom
- Polymorph energy (0 for the lowest one): 301.7 meV per atom

abc: 6.761 6.761 6.881
angles: 67.99 67.99 90.23
Atoms (fractional coordinates):
Zn  0.000  0.000  0.500
Zn  0.000  0.000  0.000
Sn  0.545  0.455  0.250
Sn  0.455  0.545  0.750
Pd  0.812  0.188  0.250
Pd  0.185  0.389  0.190
Pd  0.188  0.812  0.750
Pd  0.815  0.611  0.810
Pd  0.576  0.190  0.994
Pd  0.389  0.185  0.690
Pd  0.611  0.815  0.310
Pd  0.424  0.810  0.006
Pd  0.810  0.424  0.506
Pd  0.190  0.576  0.494


# 3
The following is a GGA-PBE calculation of a relaxed structure of Mg2NiHg, from Alexandria via LeMat-Bulk.

- Formation energy: -178 meV/atom
- Polymorph energy (0 for the lowest one): 0.0 meV per atom

abc: 3.220 3.220 6.779
angles: 90.00 90.00 90.00
Atoms (fractional coordinates):
Ni  0.500  0.500  0.000
Hg  0.500  0.500  0.500
Mg  0.000  0.000  0.212
Mg  0.000  0.000  0.788


# 4
The following is a GGA-PBE calculation of a relaxed structure of LaCdIr2, from Alexandria via LeMat-Bulk.

- Formation energy: -134 meV/atom

abc: 5.034 5.034 5.034
angles: 126.55 126.52 79.00
Atoms (fractional coordinates):
Ir  0.500  0.500  0.000
Ir  0.000  0.000  0.000
Cd  0.250  0.750  0.500
La  0.750  0.250  0.500


# 5
The following is a GGA-PBE calculation of a relaxed structure of MnBiSe2, from Alexandria via LeMat-Bulk.

- ΔE_f (raw): -0.02 eV/atom

abc: 6.732 8.838 6.330
angles: 90.00 90.00 90.00
Atoms (fractional coordinates):
Bi  0.066  0.456  0.254
Bi  0.434  0.956  0.754
Bi  0.566  0.044  0.254
Bi  0.934  0.544  0.754
Se  0.973  0.094  0.028
Se  0.271  0.737  0.086
Se  0.229  0.237  0.586
Se  0.729  0.263  0.586
Se  0.527  0.594  0.528
Se  0.027  0.906  0.528
Se  0.473  0.406  0.028
Se  0.771  0.763  0.086
Mn  0.536  0.640  0.882
Mn  0.464  0.360  0.382
Mn  0.964  0.140  0.382
Mn  0.036  0.860  0.882


# 6
The following is a GGA-PBE calculation of a relaxed structure of K2Ag2Au, from Alexandria via LeMat-Bulk.

- Formation energy: -20 meV/atom
- Polymorph energy (0 for the lowest one): 112.7 meV per atom

abc: 7.347 7.347 5.270
angles: 90.00 90.00 90.00
Atoms (fractional coordinates):
K  0.681  0.819  0.500
K  0.819  0.319  0.500
K  0.181  0.681  0.500
K  0.319  0.181  0.500
Ag  0.635  0.135  0.000
Ag  0.365  0.865  0.000
Ag  0.135  0.365  0.000
Ag  0.865  0.635  0.000
Au  0.500  0.500  0.000
Au  0.000  0.000  0.000


# 7
The following is a GGA-PBE calculation of a relaxed structure of YCdS2Cl, from Alexandria via LeMat-Bulk.

- ΔE_f (raw): -0.59 eV/atom
- Polymorph energy (0 for the lowest one): 277.8 meV per atom

abc: 5.050 5.050 4.861
angles: 90.00 90.00 90.00
Atoms (fractional coordinates):
Cl  0.000  0.000  0.500
S  0.500  0.000  0.000
S  0.000  0.500  0.000
Cd  0.000  0.000  0.000
Y  0.500  0.500  0.500


# 8
The following is a GGA-PBE calculation of a relaxed structure of CeAlGeRh, from Alexandria via LeMat-Bulk.

- Formation energy: -733 meV/atom

abc: 4.216 4.216 5.717
angles: 68.36 68.36 60.00
Each line ends with the local moment (μB).
Atoms (fractional coordinates):
Al  0.595  0.595  0.215  0.00
Rh  0.306  0.306  0.083  -0.01
Ce  0.804  0.804  0.588  0.53
Ge  0.021  0.021  0.937  0.00